! YCu2Hg (PBE-GGA, relaxed); values from VASP
&SYSTEM
  ibrav = 0, nat = 4, ntyp = 3
/
ATOMIC_SPECIES
Y 88.91 Y.upf
Cu 63.55 Cu.upf
Hg 200.59 Hg.upf
CELL_PARAMETERS angstrom
3.743 0.000 0.000
0.000 4.092 0.000
-1.863 0.000 5.077
ATOMIC_POSITIONS angstrom
Y 0.000 0.000 0.000
Cu 1.872 2.046 0.955
Cu 1.875 0.000 2.243
Hg 0.003 2.046 3.154
! Formation enthalpy at 0 K ... -0.145 eV/atom
! DOS(E_F) ... 2.24 states/eV/f.u.